This record from the Alexandria database describes Ca3CePd12 after structural relaxation. The functional is PBE.

## Properties
The calculation puts the density of states at the Fermi level at 13.8 states/eV per cell. The formation energy comes out at -13.81 kcal/mol of atoms. As for the volume: 17.7 Å³ per atom.

Cell lengths 4.138, 4.138, 16.548 Å; angles 90.00, 90.00, 90.00 degrees
Fractional positions:
Ca 0.000 0.000 0.000
Ca 0.000 0.000 0.249
Ca 0.000 0.000 0.751
Ce 0.000 0.000 0.500
Pd 0.000 0.500 0.125
Pd 0.000 0.500 0.378
Pd 0.000 0.500 0.622
Pd 0.000 0.500 0.875
Pd 0.500 0.000 0.125
Pd 0.500 0.000 0.378
Pd 0.500 0.000 0.622
Pd 0.500 0.000 0.875
Pd 0.500 0.500 0.000
Pd 0.500 0.500 0.250
Pd 0.500 0.500 0.500
Pd 0.500 0.500 0.750



This record from the Alexandria database describes CaCe2Pd after structural relaxation. The functional is PBE.

## Properties
The calculation puts the density of states at the Fermi level at 10.3 states/eV per cell. The formation energy comes out at -0.48 kcal/mol of atoms. As for the volume: 31.0 Å³ per atom.

Cell lengths 11.145, 11.145, 11.145 Å; angles 18.66, 18.66, 18.66 degrees
Fractional positions:
Ca 0.000 0.000 0.000
Ce 0.105 0.105 0.105
Ce 0.895 0.895 0.895
Pd 0.500 0.500 0.500



This record from the Alexandria database describes CaCe2Pd9 after structural relaxation. The functional is PBE.

## Properties
The calculation puts the density of states at the Fermi level at 5.0 states/eV per cell. The formation energy comes out at -17.33 kcal/mol of atoms. As for the volume: 17.8 Å³ per atom.

Cell lengths 4.146, 4.146, 12.415 Å; angles 90.00, 90.00, 90.00 degrees
Fractional positions:
Ca 0.000 0.000 0.000
Ce 0.000 0.000 0.329
Ce 0.000 0.000 0.671
Pd 0.000 0.500 0.171
Pd 0.000 0.500 0.500
Pd 0.000 0.500 0.829
Pd 0.500 0.000 0.171
Pd 0.500 0.000 0.500
Pd 0.500 0.000 0.829
Pd 0.500 0.500 0.000
Pd 0.500 0.500 0.335
Pd 0.500 0.500 0.665



This record from the Alexandria database describes Ca3CePd4 after structural relaxation. The functional is PBE.

## Properties
The calculation puts the density of states at the Fermi level at 8.2 states/eV per cell. The formation energy comes out at -15.71 kcal/mol of atoms. As for the volume: 22.4 Å³ per atom.

Cell lengths 3.538, 5.033, 10.049 Å; angles 90.00, 90.00, 90.00 degrees
Fractional positions:
Ca 0.000 0.000 0.000
Ca 0.000 0.500 0.244
Ca 0.000 0.500 0.756
Ce 0.000 0.000 0.500
Pd 0.500 0.000 0.265
Pd 0.500 0.000 0.735
Pd 0.500 0.500 0.000
Pd 0.500 0.500 0.500



This record from the Alexandria database describes CaCePd2 after structural relaxation. The functional is PBE.

## Properties
The calculation puts the density of states at the Fermi level at 5.8 states/eV per cell. The formation energy comes out at -13.14 kcal/mol of atoms. As for the volume: 25.3 Å³ per atom. The calculation puts the energy above the lowest structure with this stoichiometry at 0.43 eV/f.u.

Cell lengths 7.459, 7.459, 7.459 Å; angles 31.61, 31.61, 31.61 degrees
Fractional positions:
Ca 0.000 0.000 0.000
Ce 0.500 0.500 0.500
Pd 0.244 0.244 0.244
Pd 0.756 0.756 0.756



This record from the Alexandria database describes CaCePdRu after structural relaxation. The functional is PBE.

## Properties
The calculation puts the density of states at the Fermi level at 3.7 states/eV per cell. The formation energy comes out at -7.71 kcal/mol of atoms. As for the volume: 20.9 Å³ per atom.

Cell lengths 4.911, 4.911, 4.911 Å; angles 60.00, 60.00, 60.00 degrees
Fractional positions:
Ca 0.000 0.000 0.000
Ce 0.500 0.500 0.500
Pd 0.750 0.750 0.750
Ru 0.250 0.250 0.250



This record from the Alexandria database describes CaCeSb2Pd5 after structural relaxation. The functional is PBE.

## Properties
The calculation puts the formation energy without anion corrections at -5.81 eV/f.u. The calculation puts the density of states at the Fermi level at 9.6 states/eV per cell. As for the volume: 20.8 Å³ per atom.

Cell lengths 4.548, 4.548, 9.036 Å; angles 90.00, 90.00, 90.00 degrees
Fractional positions:
Ca 0.000 0.000 0.000
Ce 0.000 0.000 0.500
Sb 0.500 0.500 0.343
Sb 0.500 0.500 0.657
Pd 0.000 0.500 0.205
Pd 0.000 0.500 0.795
Pd 0.500 0.000 0.205
Pd 0.500 0.000 0.795
Pd 0.500 0.500 0.000



This record from the Alexandria database describes CaCeSiPd after structural relaxation. The functional is PBE.

## Properties
The calculation puts the formation energy without anion corrections at -2.19 eV/f.u. The calculation puts the density of states at the Fermi level at 5.1 states/eV per cell. As for the volume: 22.7 Å³ per atom.

Cell lengths 5.046, 5.046, 5.046 Å; angles 60.00, 60.00, 60.00 degrees
Fractional positions:
Ca 0.000 0.000 0.000
Ce 0.500 0.500 0.500
Si 0.250 0.250 0.250
Pd 0.750 0.750 0.750